PBE TlAg2BiF6, relaxed; SG = No. 1; crystal system = triclinic; formation energy without anion corrections = -17.35 eV per formula unit
1.0
6.544 -0.002 0.000
-3.273 5.654 -0.007
-3.269 -1.889 5.100
Ag F Bi Tl
2 6 1 1
direct
0.587 0.293 0.867 Ag
0.545 0.772 0.302 Ag
0.578 0.942 0.707 F
0.777 0.633 0.706 F
0.460 0.077 0.158 F
0.793 0.714 0.160 F
0.096 0.382 0.160 F
0.087 0.144 0.707 F
0.008 0.004 0.997 Bi
0.036 0.518 0.539 Tl